(1)
Ac2TlAgS4: relaxed, PBE-GGA.

**Calculated density**: 6.29 g cm⁻³
**ΔE_f (raw)**: -1.437 eV/atom
**DFT total energy**: -5.18 eV per atom
**Total magnetization**: 0.000 μB per formula unit

Cell: 4.365 7.537 14.988 Å, 90.00 90.00 106.83°
Fractional coordinates of all 16 atoms:
Ag1 0.837 0.674 0.750
S1 0.264 0.527 0.392
S2 0.264 0.527 0.108
S3 0.000 0.000 0.000
S4 0.439 0.878 0.750
Tl1 0.893 0.786 0.250
S5 0.736 0.473 0.608
Ac1 0.367 0.735 0.564
Ac2 0.633 0.265 0.436
Tl2 0.107 0.214 0.750
Ac3 0.367 0.735 0.936
S6 0.000 0.000 0.500
Ag2 0.163 0.326 0.250
Ac4 0.633 0.265 0.064
S7 0.736 0.473 0.892
S8 0.561 0.122 0.250

***

(2)
Ac2TmAg2S6: relaxed, PBE-GGA.

**Calculated density**: 5.46 g cm⁻³
**ΔE_f (raw)**: -1.126 eV/atom
**DFT total energy**: -5.05 eV per atom
**Total magnetization**: 0.000 μB per formula unit

Cell: 7.435 7.435 7.833 Å, 61.66 61.66 60.00°
Fractional coordinates of all 11 atoms:
Ac1 0.797 0.797 0.610
Ag1 0.421 0.421 0.736
S1 0.242 0.796 0.719
S2 0.758 0.204 0.281
Ac2 0.203 0.203 0.390
S3 0.242 0.242 0.719
S4 0.758 0.758 0.281
Tm1 0.000 0.000 0.000
Ag2 0.579 0.579 0.264
S5 0.204 0.758 0.281
S6 0.796 0.242 0.719

***

(3)
Ac2TmAgS5: relaxed, PBE-GGA.

**Calculated density**: 6.78 g cm⁻³
**ΔE_f (raw)**: -1.800 eV/atom
**DFT total energy**: -5.82 eV per atom
**Total magnetization**: 0.000 μB per formula unit

Cell: 4.124 8.838 12.320 Å, 90.00 90.00 103.49°
Fractional coordinates of all 18 atoms:
Ac1 0.111 0.221 0.685
Ag1 0.545 0.090 0.962
Ac2 0.127 0.254 0.307
S1 0.354 0.708 0.001
S2 0.503 0.005 0.273
S3 0.646 0.292 0.501
Ac3 0.889 0.779 0.185
S4 0.694 0.388 0.857
S5 0.950 0.899 0.573
S6 0.288 0.576 0.658
Tm1 0.804 0.609 0.508
S7 0.306 0.612 0.357
Ag2 0.455 0.910 0.462
S8 0.712 0.424 0.158
S9 0.050 0.101 0.073
Ac4 0.873 0.746 0.807
Tm2 0.196 0.391 0.008
S10 0.497 0.995 0.773

***

(4)
AcUAg2S6: relaxed, PBE-GGA.

**Calculated density**: 5.65 g cm⁻³
**ΔE_f (raw)**: -0.897 eV/atom
**DFT total energy**: -5.48 eV per atom
**Total magnetization**: 0.000 μB per formula unit

Cell: 7.105 7.216 10.088 Å, 90.00 83.32 90.00°
Fractional coordinates of all 20 atoms:
Ac1 0.000 0.500 0.500
S1 0.175 0.432 0.760
S2 0.144 0.202 0.086
Ag1 0.473 0.605 0.668
S3 0.356 0.702 0.414
S4 0.762 0.820 0.590
S5 0.675 0.068 0.260
Ag2 0.527 0.395 0.332
U1 0.000 0.500 0.000
S6 0.856 0.798 0.914
Ag3 0.027 0.105 0.832
S7 0.644 0.298 0.586
S8 0.825 0.568 0.240
U2 0.500 0.000 0.500
Ac2 0.500 0.000 0.000
Ag4 0.973 0.895 0.168
S9 0.738 0.320 0.910
S10 0.325 0.932 0.740
S11 0.238 0.180 0.410
S12 0.262 0.680 0.090

***

(5)
Ac2UAgS5: relaxed, PBE-GGA.

**Calculated density**: 7.23 g cm⁻³
**ΔE_f (raw)**: -1.577 eV/atom
**DFT total energy**: -6.35 eV per atom
**Total magnetization**: 2.710 μB per formula unit

Cell: 4.128 8.850 12.414 Å, 90.00 90.00 103.49°
Last column: magnetic moment on the atom in μB.
Fractional coordinates of all 18 atoms:
S1 0.709 0.418 0.159  -0.04
S2 0.291 0.582 0.659  -0.04
Ac1 0.127 0.255 0.308  0.03
Ac2 0.873 0.745 0.808  0.03
S3 0.952 0.903 0.571  -0.03
U1 0.804 0.608 0.509  2.45
Ac3 0.887 0.774 0.188  0.02
S4 0.503 0.006 0.270  0.00
S5 0.048 0.097 0.071  -0.03
S6 0.356 0.712 0.003  -0.02
S7 0.307 0.614 0.355  -0.04
S8 0.644 0.288 0.503  -0.02
U2 0.196 0.392 0.009  2.45
Ag1 0.536 0.072 0.962  0.00
Ac4 0.113 0.226 0.688  0.02
S9 0.497 0.994 0.770  0.00
S10 0.693 0.386 0.855  -0.04
Ag2 0.464 0.928 0.462  0.00

***

(6)
Ac2ZnAgS5: relaxed, PBE-GGA.

**Calculated density**: 6.21 g cm⁻³
**ΔE_f (raw)**: -1.316 eV/atom
**DFT total energy**: -4.98 eV per atom
**Total magnetization**: 0.002 μB per formula unit

Cell: 4.162 8.784 11.864 Å, 90.00 90.00 103.70°
Fractional coordinates of all 18 atoms:
Ac1 0.867 0.733 0.807
Zn1 0.438 0.876 0.451
S1 0.711 0.423 0.168
S2 0.946 0.892 0.548
S3 0.054 0.108 0.048
Ac2 0.884 0.767 0.194
Ag1 0.792 0.584 0.521
S4 0.289 0.577 0.668
Ag2 0.208 0.416 0.021
S5 0.496 0.993 0.777
Ac3 0.133 0.267 0.307
S6 0.310 0.620 0.355
S7 0.504 0.007 0.277
S8 0.642 0.283 0.504
S9 0.358 0.717 0.004
Zn2 0.562 0.124 0.951
S10 0.690 0.380 0.855
Ac4 0.116 0.233 0.694

***

(7)
AcAg4Sb: relaxed, PBE-GGA.

**Calculated density**: 9.31 g cm⁻³
**ΔE_f (raw)**: -0.226 eV/atom
**DFT total energy**: -3.50 eV per atom
**Total magnetization**: 0.000 μB per formula unit

Cell: 5.816 5.816 5.816 Å, 60.00 60.00 60.00°
Fractional coordinates of all 6 atoms:
Ac1 0.000 0.000 0.000
Ag1 0.625 0.625 0.625
Ag2 0.625 0.625 0.126
Sb1 0.250 0.250 0.250
Ag3 0.126 0.625 0.625
Ag4 0.625 0.126 0.625

***

(8)
AcAg2Sb: relaxed, PBE-GGA.

**Calculated density**: 8.60 g cm⁻³
**ΔE_f (raw)**: -0.309 eV/atom
**DFT total energy**: -3.79 eV per atom
**Total magnetization**: 0.000 μB per formula unit

Cell: 4.961 4.687 4.687 Å, 90.00 90.00 90.00°
Fractional coordinates of all 4 atoms:
Ac1 0.500 0.000 0.000
Ag1 0.000 0.000 0.500
Sb1 0.500 0.500 0.500
Ag2 0.000 0.500 0.000

***

Question: What is the ΔE_f (raw) in the second record?
Answer: -1.126 eV/atom

***

Question: DFT total energy of number 4 (AcUAg2S6)?
Answer: -5.48 eV per atom